Material: HgPb3Au8
Method: DFT, PBE
State: optimized geometry

offset from the most stable computed form = 0.0000 eV per atom
ΔE_f = -0.02 eV per atom
size of the total moment = 0.000 μB per atom
symmetry = R3m (160)
theoretical density = 15.16 g/cm3
raw total energy = -37.923 eV/cell

CIF file:
```
data_HgPb3Au8
_space_group_name_H-M_alt 'P 1'
_space_group_IT_number 1
_space_group_name_Hall 'P 1'
_cell_length_a 9.9557
_cell_length_b 9.9557
_cell_length_c 9.9557
_cell_angle_alpha 33.15
_cell_angle_beta 33.15
_cell_angle_gamma 33.15
loop_
_atom_site_label
_atom_site_type_symbol
_atom_site_fract_x
_atom_site_fract_y
_atom_site_fract_z
Hg1 Hg 0.0000 0.0000 0.0000
Pb1 Pb 0.1225 0.1225 0.1225
Pb2 Pb 0.5057 0.5057 0.5057
Pb3 Pb 0.6322 0.6322 0.6322
Au1 Au 0.0649 0.0649 0.5648
Au2 Au 0.0649 0.5647 0.0649
Au3 Au 0.0668 0.5645 0.5645
Au4 Au 0.3149 0.3149 0.3149
Au5 Au 0.5645 0.0668 0.5645
Au6 Au 0.5645 0.5645 0.0668
Au7 Au 0.5648 0.0649 0.0649
Au8 Au 0.8150 0.8150 0.8150
```

Material: Sm3BeGe6Pd2
Method: DFT, PBE
State: optimized geometry

ΔE_f = -0.37 eV per atom
size of the total moment = 0.000 μB per atom
symmetry = P-3m1 (164)
theoretical density = 7.53 g/cm3
raw total energy = -60.459 eV/cell

CIF file:
```
data_Sm3BeGe6Pd2
_space_group_name_H-M_alt 'P 1'
_space_group_IT_number 1
_space_group_name_Hall 'P 1'
_cell_length_a 5.8242
_cell_length_b 5.8242
_cell_length_c 8.3197
_cell_angle_alpha 90.00
_cell_angle_beta 90.00
_cell_angle_gamma 120.00
loop_
_atom_site_label
_atom_site_type_symbol
_atom_site_fract_x
_atom_site_fract_y
_atom_site_fract_z
Sm1 Sm 0.0000 0.0000 0.0000
Sm2 Sm 0.3333 0.6667 0.6148
Sm3 Sm 0.6667 0.3333 0.3852
Be1 Be 0.0000 0.0000 0.5000
Ge1 Ge 0.1801 0.3602 0.2870
Ge2 Ge 0.1801 0.8199 0.2870
Ge3 Ge 0.3602 0.1801 0.7130
Ge4 Ge 0.6398 0.8199 0.2870
Ge5 Ge 0.8199 0.1801 0.7130
Ge6 Ge 0.8199 0.6398 0.7130
Pd1 Pd 0.3333 0.6667 0.0325
Pd2 Pd 0.6667 0.3333 0.9675
```

Material: ScCd3O
Method: DFT, PBE
State: optimized geometry

offset from the most stable computed form = 0.0000 eV per atom
energy relative to the elements, uncorrected = -71 meV per atom
size of the total moment = 0.000 μB per atom
symmetry = Pm-3m (221)
theoretical density = 6.34 g/cm3
raw total energy = -14.390 eV/cell

CIF file:
```
data_ScCd3O
_space_group_name_H-M_alt 'P 1'
_space_group_IT_number 1
_space_group_name_Hall 'P 1'
_cell_length_a 4.7066
_cell_length_b 4.7066
_cell_length_c 4.7066
_cell_angle_alpha 90.00
_cell_angle_beta 90.00
_cell_angle_gamma 90.00
loop_
_atom_site_label
_atom_site_type_symbol
_atom_site_fract_x
_atom_site_fract_y
_atom_site_fract_z
Sc1 Sc 0.0000 0.0000 0.0000
Cd1 Cd 0.0000 0.5000 0.5000
Cd2 Cd 0.5000 0.0000 0.5000
Cd3 Cd 0.5000 0.5000 0.0000
O1 O 0.5000 0.5000 0.5000
```